[1]
Ir2Se after structural relaxation. Source: the Alexandria database, functional PBE-GGA.

a = 5.270 Å, b = 5.270 Å, c = 4.430 Å
α = 90.00°, β = 90.00°, γ = 54.44°
Sites, in units of the cell vectors:
Ir 0.026 0.340 0.250
Ir 0.340 0.026 0.750
Ir 0.660 0.974 0.250
Ir 0.974 0.660 0.750
Se 0.234 0.766 0.250
Se 0.766 0.234 0.750

Values from the calculation:
energy	-6.64	eV per atom
symmetry	Cmcm
DOS(E_F)	4.0	states/eV/cell
formation energy without anion corrections	1.30	eV/f.u.
ΔE to the lowest computed polymorph	425	meV/atom
total magnetic moment	0.0	μB per formula unit

=====

[2]
Sc2WN after structural relaxation. Source: the Alexandria database, functional PBE-GGA.

a = 8.622 Å, b = 8.622 Å, c = 8.622 Å
α = 21.43°, β = 21.43°, γ = 21.43°
Sites, in units of the cell vectors:
Sc 0.075 0.075 0.075
Sc 0.925 0.925 0.925
W 0.500 0.500 0.500
N 0.000 0.000 0.000

Values from the calculation:
energy	-7.95	eV per atom
symmetry	R-3m
DOS(E_F)	2.4	states/eV/cell
formation energy without anion corrections	2.15	eV/f.u.
total magnetic moment	0.6	μB per formula unit